Record 1
DFT (PBE) results for a relaxed structure of PrThRh.

## Properties
**Fermi-level density of states**: 19.97 states/eV per cell
**Energy above the lowest structure with this stoichiometry**: 158 meV per atom
**Energy of formation**: -32.2 kJ per mole of atoms

```
data_PrThRh
_chemical_formula_sum 'Pr4 Th4 Rh4'
_space_group_name_H-M_alt 'F -4 3 m'
_space_group_IT_number 216
_space_group_name_Hall 'F -4 2 3'
_cell_length_a 7.033
_cell_length_b 7.033
_cell_length_c 7.033
_cell_angle_alpha 90.00
_cell_angle_beta 90.00
_cell_angle_gamma 90.00
loop_
_atom_site_label
_atom_site_type_symbol
_atom_site_fract_x
_atom_site_fract_y
_atom_site_fract_z
_atom_site_occupancy
Pr1 Pr 0.000 0.000 0.000 1
Th1 Th 0.000 0.000 0.500 1
Rh1 Rh 0.250 0.250 0.250 1
```

***

Record 2
DFT (PBE) results for a relaxed structure of PrTmTh2Rh4.

## Properties
**Fermi-level density of states**: 21.79 states/eV per cell
**Energy of formation**: -73.9 kJ per mole of atoms

```
data_PrTmTh2Rh4
_chemical_formula_sum 'Pr4 Tm4 Th8 Rh16'
_space_group_name_H-M_alt 'F m m 2'
_space_group_IT_number 42
_space_group_name_Hall 'F 2 -2'
_cell_length_a 7.893
_cell_length_b 11.214
_cell_length_c 8.388
_cell_angle_alpha 90.00
_cell_angle_beta 90.00
_cell_angle_gamma 90.00
loop_
_atom_site_label
_atom_site_type_symbol
_atom_site_fract_x
_atom_site_fract_y
_atom_site_fract_z
_atom_site_occupancy
Pr1 Pr 0.000 0.000 0.000 1
Tm1 Tm 0.000 0.000 0.576 1
Th1 Th 0.250 0.250 0.222 1
Rh1 Rh 0.000 0.226 0.466 1
Rh2 Rh 0.199 0.000 0.287 1
```

***

Record 3
DFT (PBE) results for a relaxed structure of PrTiRh.

## Properties
**Fermi-level density of states**: 6.11 states/eV per cell
**Energy of formation**: -52.2 kJ per mole of atoms

```
data_PrTiRh
_chemical_formula_sum 'Pr2 Ti2 Rh2'
_space_group_name_H-M_alt 'P 4/n m m'
_space_group_IT_number 129
_cell_length_a 4.474
_cell_length_b 4.474
_cell_length_c 6.640
_cell_angle_alpha 90.00
_cell_angle_beta 90.00
_cell_angle_gamma 90.00
loop_
_space_group_symop_operation_xyz
'x,y,z'
'-x,-y,-z'
'-y+1/2,x,z'
'y+1/2,-x,-z'
'-x+1/2,-y+1/2,z'
'x+1/2,y+1/2,-z'
'y,-x+1/2,z'
'-y,x+1/2,-z'
'x+1/2,-y,-z'
'-x+1/2,y,z'
'-y,-x,-z'
'y,x,z'
'-x,y+1/2,-z'
'x,-y+1/2,z'
'y+1/2,x+1/2,-z'
'-y+1/2,-x+1/2,z'
loop_
_atom_site_label
_atom_site_type_symbol
_atom_site_fract_x
_atom_site_fract_y
_atom_site_fract_z
_atom_site_occupancy
Pr1 Pr 0.250 0.250 0.135 1
Ti1 Ti 0.250 0.750 0.500 1
Rh1 Rh 0.250 0.250 0.686 1
```

***

> Which value of energy of formation does entry 3 give?

-52.2 kJ per mole of atoms

***

> Number 2 is which compound?

PrTmTh2Rh4

***

> Fermi-level density of states of number 2 (PrTmTh2Rh4)?

21.79 states/eV per cell